(1)
{"formula": "Al3InBr", "functional": "PBE", "state": "relaxed", "vol_a3_per_atom": 30.3, "e_tot_ev_per_cell": -11.81, "formation_energy_uncorrected_ev_per_atom": 0.76, "e_above_lowest_polymorph_ev_per_atom": 0.196, "space_group": "Pm-3m (221)", "cell": [[-1.1952, -3.5442, -3.8016], [4.7325, 0.8705, -2.2994], [2.1486, -3.8888, 2.9500]], "species": ["Al", "Al", "In", "Br", "Al"], "fractional_positions": [[0.5000, 0.0000, 0.0000], [0.0000, 0.0000, 0.5000], [0.5000, 0.5000, 0.5000], [0.0000, 0.0000, 0.0000], [0.0000, 0.5000, 0.0000]]}

(2)
{"formula": "AlIn2Br", "functional": "PBE", "state": "relaxed", "vol_a3_per_atom": 26.4, "e_tot_ev_per_cell": -11.10, "formation_energy_uncorrected_ev_per_atom": -0.05, "e_above_lowest_polymorph_ev_per_atom": 0.039, "space_group": "C2/m (12)", "cell": [[7.9035, 0.0371, 0.0910], [-3.6971, 4.3549, -0.0427], [0.5094, 1.2487, 3.0627]], "species": ["Al", "In", "Br", "In"], "fractional_positions": [[0.0000, 0.5000, 0.5000], [0.5000, 0.0000, 0.5000], [0.5000, 0.5000, 0.0000], [0.0000, 0.0000, 0.0000]]}

(3)
{"formula": "AlInBr", "functional": "PBE", "state": "relaxed", "vol_a3_per_atom": 31.3, "e_tot_ev_per_cell": -7.65, "formation_energy_uncorrected_ev_per_atom": 0.17, "e_above_lowest_polymorph_ev_per_atom": 0.312, "space_group": "F-43m (216)", "cell": [[-1.7144, 0.6101, -4.7641], [1.3196, -3.3293, -3.6308], [-3.4734, -3.2194, -1.8919]], "species": ["Br", "In", "Al"], "fractional_positions": [[0.0000, 0.0000, 0.0000], [0.5000, 0.5000, 0.5000], [0.7500, 0.7500, 0.7500]]}

(4)
{"formula": "Al3InBr", "functional": "PBE", "state": "relaxed", "vol_a3_per_atom": 31.3, "e_tot_ev_per_cell": -12.80, "formation_energy_uncorrected_ev_per_atom": 0.57, "e_above_lowest_polymorph_ev_per_atom": 0.000, "space_group": "Pm-3m (221)", "cell": [[-1.0774, -3.9183, -3.5381], [0.6076, -3.6790, 3.8894], [-5.2442, 0.3787, 1.1775]], "species": ["Al", "Al", "In", "Al", "Br"], "fractional_positions": [[0.0000, 0.0000, 0.5000], [0.5000, 0.0000, 0.0000], [0.0000, 0.0000, 0.0000], [0.0000, 0.5000, 0.0000], [0.5000, 0.5000, 0.5000]]}

(5)
{"formula": "AlIn3Br6", "functional": "PBE", "state": "relaxed", "vol_a3_per_atom": 41.0, "e_tot_ev_per_cell": -61.17, "formation_energy_uncorrected_ev_per_atom": -0.86, "e_above_lowest_polymorph_ev_per_atom": 0.000, "space_group": "Cmc2_1 (36)", "cell": [[7.9679, 0.0000, 0.0000], [0.0000, 10.0115, -2.5745], [0.0000, -0.2596, 10.3339]], "species": ["Br", "In", "Al", "Br", "Br", "In", "In", "Br", "Al", "Br", "In", "Br", "In", "Br", "Br", "In", "Br", "Br", "Br", "Br"], "fractional_positions": [[0.7103, 0.6505, 0.6689], [0.4433, 0.4061, 0.5939], [0.5326, 0.8054, 0.1946], [0.7442, 0.2116, 0.7884], [0.6527, 0.9008, 0.4051], [0.9433, 0.5939, 0.4061], [0.9676, 0.7108, 0.8933], [0.7103, 0.3311, 0.3495], [0.0326, 0.1946, 0.8054], [0.2103, 0.3495, 0.3311], [0.4676, 0.2892, 0.1067], [0.6040, 0.9436, 0.0564], [0.4676, 0.8933, 0.7108], [0.1040, 0.0564, 0.9436], [0.2442, 0.7884, 0.2116], [0.9676, 0.1067, 0.2892], [0.1527, 0.0992, 0.5949], [0.1527, 0.4051, 0.9008], [0.6527, 0.5949, 0.0992], [0.2103, 0.6689, 0.6505]]}

(6)
{"formula": "AlInBr", "functional": "PBE", "state": "relaxed", "vol_a3_per_atom": 26.8, "e_tot_ev_per_cell": -8.59, "formation_energy_uncorrected_ev_per_atom": -0.15, "e_above_lowest_polymorph_ev_per_atom": 0.000, "space_group": "P3m1 (156)", "cell": [[-2.8000, 2.0106, -0.1789], [-0.2315, -3.1644, 1.3592], [1.6377, 2.9080, 7.0494]], "species": ["In", "Br", "Al"], "fractional_positions": [[0.3333, 0.6667, 0.7161], [0.6667, 0.3333, 0.2582], [0.0000, 0.0000, 0.0257]]}

(7)
{"formula": "Al2In2Br", "functional": "PBE", "state": "relaxed", "vol_a3_per_atom": 25.7, "e_tot_ev_per_cell": -14.09, "formation_energy_uncorrected_ev_per_atom": 0.11, "e_above_lowest_polymorph_ev_per_atom": 0.064, "space_group": "I4/mmm (139)", "cell": [[-0.0181, 4.2515, -1.3414], [-4.2480, 0.3905, 1.2950], [-0.1735, 4.1805, 5.8438]], "species": ["In", "Br", "Al", "In", "Al"], "fractional_positions": [[0.7500, 0.2500, 0.5000], [0.0000, 0.0000, 0.0000], [0.6001, 0.6001, 0.7999], [0.2500, 0.7500, 0.5000], [0.3999, 0.3999, 0.2001]]}

(8)
{"formula": "AlIn2Br", "functional": "PBE", "state": "relaxed", "vol_a3_per_atom": 26.5, "e_tot_ev_per_cell": -10.46, "formation_energy_uncorrected_ev_per_atom": 0.11, "e_above_lowest_polymorph_ev_per_atom": 0.202, "space_group": "Fm-3m (225)", "cell": [[0.0000, 3.7542, 3.7542], [3.7542, 0.0000, 3.7542], [3.7542, 3.7542, 0.0000]], "species": ["Al", "In", "Br", "In"], "fractional_positions": [[0.0000, 0.0000, 0.0000], [0.7500, 0.7500, 0.7500], [0.5000, 0.5000, 0.5000], [0.2500, 0.2500, 0.2500]]}

(9)
{"formula": "AlInBr4", "functional": "PBE", "state": "relaxed", "vol_a3_per_atom": 33.0, "e_tot_ev_per_cell": -11.79, "formation_energy_uncorrected_ev_per_atom": 0.23, "e_above_lowest_polymorph_ev_per_atom": 1.241, "space_group": "F-43m (216)", "cell": [[3.4117, 1.9336, 5.2373], [0.4107, 6.3621, 1.4704], [-3.1176, 2.3524, 5.2492]], "species": ["In", "Br", "Br", "Al", "Br", "Br"], "fractional_positions": [[0.7500, 0.7500, 0.7500], [0.3749, 0.3749, 0.8754], [0.3749, 0.8754, 0.3749], [0.0000, 0.0000, 0.0000], [0.8754, 0.3749, 0.3749], [0.3749, 0.3749, 0.3749]]}

(10)
{"formula": "AlIn2Br", "functional": "PBE", "state": "relaxed", "vol_a3_per_atom": 26.1, "e_tot_ev_per_cell": -10.99, "formation_energy_uncorrected_ev_per_atom": -0.02, "e_above_lowest_polymorph_ev_per_atom": 0.069, "space_group": "R-3m (166)", "cell": [[-2.1459, 9.4725, 1.7541], [-4.5234, 8.7398, -0.7514], [-5.2154, 7.9584, 2.6216]], "species": ["In", "In", "Br", "Al"], "fractional_positions": [[0.0001, 0.0001, 0.0001], [0.4999, 0.4999, 0.4999], [0.7500, 0.7500, 0.7500], [0.2500, 0.2500, 0.2500]]}

(11)
{"formula": "AlInBr4", "functional": "PBE", "state": "relaxed", "vol_a3_per_atom": 38.8, "e_tot_ev_per_cell": -76.92, "formation_energy_uncorrected_ev_per_atom": -1.01, "e_above_lowest_polymorph_ev_per_atom": 0.000, "space_group": "P2/c (13)", "cell": [[-5.4705, -3.6438, 4.3090], [-0.2945, -6.8032, -6.1268], [9.1714, -8.6504, 4.3286]], "species": ["Br", "Br", "Br", "Al", "Al", "In", "Br", "Br", "In", "Br", "Br", "Al", "Br", "Br", "In", "Br", "In", "Br", "Br", "Br", "Br", "Al", "Br", "Br"], "fractional_positions": [[0.2676, 0.4607, 0.0998], [0.4110, 0.8399, 0.1317], [0.9410, 0.2221, 0.4074], [0.7858, 0.2817, 0.9513], [0.2142, 0.2817, 0.4513], [0.9312, 0.0000, 0.7500], [0.5890, 0.8399, 0.6317], [0.2507, 0.2041, 0.6307], [0.5812, 0.5000, 0.2500], [0.9410, 0.7779, 0.0926], [0.7324, 0.5393, 0.9002], [0.7858, 0.7183, 0.5487], [0.7324, 0.4607, 0.5998], [0.0590, 0.7779, 0.5926], [0.0688, 0.0000, 0.2500], [0.7493, 0.2041, 0.1307], [0.4188, 0.5000, 0.7500], [0.5890, 0.1601, 0.8683], [0.0590, 0.2221, 0.9074], [0.2676, 0.5393, 0.4002], [0.2507, 0.7959, 0.8693], [0.2142, 0.7183, 0.0487], [0.7493, 0.7959, 0.3693], [0.4110, 0.1601, 0.3683]]}

(12)
{"formula": "AlIn3Br6", "functional": "PBE", "state": "relaxed", "vol_a3_per_atom": 33.8, "e_tot_ev_per_cell": -60.07, "formation_energy_uncorrected_ev_per_atom": -0.80, "e_above_lowest_polymorph_ev_per_atom": 0.055, "space_group": "P2_1/c (14)", "cell": [[-0.0107, -0.1580, 7.2811], [0.3292, -8.5002, -0.1840], [10.9028, 0.4039, 0.8458]], "species": ["Br", "In", "Br", "Br", "In", "In", "In", "Br", "Br", "Br", "Br", "Br", "Br", "In", "Al", "Br", "Br", "Al", "In", "Br"], "fractional_positions": [[0.7929, 0.6555, 0.5284], [0.5000, 0.5000, 0.0000], [0.3855, 0.5579, 0.7201], [0.6527, 0.2494, 0.5680], [0.4615, 0.0782, 0.2339], [0.0000, 0.0000, 0.5000], [0.0385, 0.5782, 0.2661], [0.1527, 0.2506, 0.0680], [0.3473, 0.7506, 0.4320], [0.2071, 0.3445, 0.4716], [0.8473, 0.7494, 0.9320], [0.1145, 0.0579, 0.7799], [0.2929, 0.8445, 0.0284], [0.9615, 0.4218, 0.7339], [0.0000, 0.0000, 0.0000], [0.8855, 0.9421, 0.2201], [0.7071, 0.1555, 0.9716], [0.5000, 0.5000, 0.5000], [0.5385, 0.9218, 0.7661], [0.6145, 0.4421, 0.2799]]}

(13)
{"formula": "AlInBr", "functional": "PBE", "state": "relaxed", "vol_a3_per_atom": 26.3, "e_tot_ev_per_cell": -8.26, "formation_energy_uncorrected_ev_per_atom": -0.03, "e_above_lowest_polymorph_ev_per_atom": 0.111, "space_group": "I4mm (107)", "cell": [[-1.2413, 4.3815, -4.2799], [-4.4190, 0.1685, -4.4160], [1.1860, -1.0895, 6.0385]], "species": ["Br", "In", "Al"], "fractional_positions": [[0.3535, 0.3535, 0.0000], [0.6405, 0.6405, 0.0000], [0.0059, 0.0059, 0.0000]]}

(14)
{"formula": "Al2In2Br", "functional": "PBE", "state": "relaxed", "vol_a3_per_atom": 24.7, "e_tot_ev_per_cell": -28.83, "formation_energy_uncorrected_ev_per_atom": 0.04, "e_above_lowest_polymorph_ev_per_atom": 0.000, "space_group": "P4/mbm (127)", "cell": [[8.1765, 0.0000, 0.0000], [0.0000, 8.1765, 0.0000], [0.0000, 0.0000, 3.6879]], "species": ["Al", "In", "In", "In", "In", "Br", "Al", "Al", "Al", "Br"], "fractional_positions": [[0.1158, 0.3842, 0.0000], [0.6866, 0.8134, 0.5000], [0.8134, 0.3134, 0.5000], [0.3134, 0.1866, 0.5000], [0.1866, 0.6866, 0.5000], [0.5000, 0.5000, 0.0000], [0.6158, 0.1158, 0.0000], [0.8842, 0.6158, 0.0000], [0.3842, 0.8842, 0.0000], [0.0000, 0.0000, 0.0000]]}

(15)
{"formula": "AlIn2Br", "functional": "PBE", "state": "relaxed", "vol_a3_per_atom": 27.6, "e_tot_ev_per_cell": -10.74, "formation_energy_uncorrected_ev_per_atom": 0.04, "e_above_lowest_polymorph_ev_per_atom": 0.130, "space_group": "I-4m2 (119)", "cell": [[-1.6334, 5.5269, 2.6772], [-4.4559, 0.1675, 4.5276], [5.2749, -3.2587, -1.3922]], "species": ["Br", "In", "Al", "In"], "fractional_positions": [[0.7500, 0.2500, 0.5000], [0.0000, 0.0000, 0.0000], [0.5000, 0.5000, 0.0000], [0.2500, 0.7500, 0.5000]]}

(16)
{"formula": "AlIn2Br", "functional": "PBE", "state": "relaxed", "vol_a3_per_atom": 26.1, "e_tot_ev_per_cell": -10.93, "formation_energy_uncorrected_ev_per_atom": -0.01, "e_above_lowest_polymorph_ev_per_atom": 0.082, "space_group": "Pmmm (47)", "cell": [[3.3446, 0.0000, 0.0000], [0.0000, 5.7132, 0.0000], [0.0000, 0.0000, 5.4561]], "species": ["Br", "In", "In", "Al"], "fractional_positions": [[0.0000, 0.5000, 0.5000], [0.5000, 0.5000, 0.0000], [0.0000, 0.0000, 0.0000], [0.5000, 0.0000, 0.5000]]}

(17)
{"formula": "Al2InBr8", "functional": "PBE", "state": "relaxed", "vol_a3_per_atom": 40.7, "e_tot_ev_per_cell": -34.35, "formation_energy_uncorrected_ev_per_atom": -0.98, "e_above_lowest_polymorph_ev_per_atom": 0.000, "space_group": "C2/m (12)", "cell": [[6.6540, -0.0340, -0.0291], [0.8434, 8.3059, 0.3405], [0.8434, 1.6240, 8.1527]], "species": ["Br", "Al", "Br", "Br", "In", "Al", "Br", "Br", "Br", "Br", "Br"], "fractional_positions": [[0.7557, 0.7084, 0.0709], [0.3500, 0.2007, 0.2007], [0.2944, 0.8077, 0.8077], [0.7811, 0.6317, 0.6317], [0.0000, 0.0000, 0.0000], [0.6500, 0.7993, 0.7993], [0.2189, 0.3683, 0.3683], [0.2443, 0.2916, 0.9291], [0.7557, 0.0709, 0.7084], [0.7056, 0.1923, 0.1923], [0.2443, 0.9291, 0.2916]]}

(18)
{"formula": "AlIn2Br", "functional": "PBE", "state": "relaxed", "vol_a3_per_atom": 27.3, "e_tot_ev_per_cell": -10.65, "formation_energy_uncorrected_ev_per_atom": 0.06, "e_above_lowest_polymorph_ev_per_atom": 0.154, "space_group": "I4/mmm (139)", "cell": [[-1.3822, -0.6848, 5.8664], [-2.6580, -5.2716, 1.3922], [4.9522, 1.6410, -3.0945]], "species": ["In", "In", "Br", "Al"], "fractional_positions": [[0.5000, 0.5000, 0.0000], [0.0000, 0.0000, 0.0000], [0.7500, 0.2500, 0.5000], [0.2500, 0.7500, 0.5000]]}

(19)
{"formula": "AlInBr", "functional": "PBE", "state": "relaxed", "vol_a3_per_atom": 27.6, "e_tot_ev_per_cell": -8.40, "formation_energy_uncorrected_ev_per_atom": -0.08, "e_above_lowest_polymorph_ev_per_atom": 0.062, "space_group": "Fmm2 (42)", "cell": [[8.3262, -0.0380, 0.0235], [7.2110, 3.3100, 0.0073], [1.1152, -1.5176, 2.9843]], "species": ["Al", "In", "Br"], "fractional_positions": [[0.9894, 0.9894, 0.0106], [0.6441, 0.6441, 0.3559], [0.3665, 0.3665, 0.6335]]}

(20)
{"formula": "AlIn2Br2", "functional": "PBE", "state": "relaxed", "vol_a3_per_atom": 35.2, "e_tot_ev_per_cell": -12.55, "formation_energy_uncorrected_ev_per_atom": 0.00, "e_above_lowest_polymorph_ev_per_atom": 0.213, "space_group": "I4/mmm (139)", "cell": [[-0.3073, -3.4945, 3.5632], [-0.5363, -3.5262, -3.5044], [6.5538, -4.3504, -0.1928]], "species": ["In", "In", "Al", "Br", "Br"], "fractional_positions": [[0.6204, 0.6204, 0.7593], [0.3796, 0.3796, 0.2407], [0.0000, 0.0000, 0.0000], [0.2500, 0.7500, 0.5000], [0.7500, 0.2500, 0.5000]]}